(1)
Entry from the Alexandria database: an optimized crystal structure of HoThCuIr (PBE).

Lattice parameters (Å, degrees): 4.9759 4.9759 4.9759 60.00 60.00 60.00
Positions (direct):
Th1 0.7500 0.7500 0.7500
Ho1 0.2500 0.2500 0.2500
Ir1 0.0000 0.0000 0.0000
Cu1 0.5000 0.5000 0.5000

Computed properties:
electronic total energy: -27.101 eV/cell
ΔH_f (0 K): -2.147 eV/f.u.

***

(2)
Entry from the Alexandria database: an optimized crystal structure of HoZnCuIr (PBE).

Lattice parameters (Å, degrees): 4.5860 4.5860 4.5860 60.00 60.00 60.00
Positions (direct):
Ir1 0.7500 0.7500 0.7500
Ho1 0.0000 0.0000 0.0000
Zn1 0.5000 0.5000 0.5000
Cu1 0.2500 0.2500 0.2500

Computed properties:
electronic total energy: -20.185 eV/cell
ΔH_f (0 K): -1.376 eV/f.u.

***

(3)
Entry from the Alexandria database: an optimized crystal structure of K2HoCu2O4 (PBE).

Lattice parameters (Å, degrees): 3.3949 6.4848 6.8284 107.10 104.39 90.00
Positions (direct):
O1 0.5335 0.7961 0.0670
O2 0.1862 0.1792 0.3724
O3 0.8138 0.8208 0.6276
O4 0.4665 0.2039 0.9330
Cu1 0.3133 0.9669 0.6266
Cu2 0.6867 0.0331 0.3734
K1 0.8741 0.4484 0.7482
K2 0.1259 0.5516 0.2518
Ho1 0.0000 0.0000 0.0000

Computed properties:
electronic total energy: -48.666 eV/cell
energy relative to the elements, uncorrected: -1.541 eV/atom

***

(4)
Entry from the Alexandria database: an optimized crystal structure of KHoCu2O4 (PBE).

Lattice parameters (Å, degrees): 3.8747 3.8747 7.1327 90.00 90.00 90.00
Positions (direct):
O1 0.5000 0.0000 0.8013
O2 0.0000 0.5000 0.8013
O3 0.5000 0.0000 0.1987
O4 0.0000 0.5000 0.1987
Cu1 0.5000 0.5000 0.7806
Cu2 0.5000 0.5000 0.2194
Ho1 0.0000 0.0000 0.0000
K1 0.0000 0.0000 0.5000

Computed properties:
electronic total energy: -47.160 eV/cell
energy relative to the elements, uncorrected: -1.682 eV/atom

***

(5)
Entry from the Alexandria database: an optimized crystal structure of KHoCuS3 (PBE).

Lattice parameters (Å, degrees): 3.9417 8.6974 9.2817 107.30 90.00 90.00
Positions (direct):
Cu1 0.2500 0.0846 0.6046
Cu2 0.7500 0.9154 0.3954
S1 0.7500 0.1852 0.5383
S2 0.7500 0.4589 0.1592
S3 0.2500 0.1152 0.8587
S4 0.2500 0.5411 0.8408
S5 0.2500 0.8148 0.4617
S6 0.7500 0.8848 0.1413
Ho1 0.7500 0.3299 0.8559
Ho2 0.2500 0.6701 0.1441
K1 0.2500 0.1989 0.2313
K2 0.7500 0.8011 0.7687

Computed properties:
electronic total energy: -59.562 eV/cell
energy relative to the elements, uncorrected: -1.271 eV/atom

***

(6)
Entry from the Alexandria database: an optimized crystal structure of KHo2CuSe4 (PBE).

Lattice parameters (Å, degrees): 7.3141 7.3141 14.3424 90.00 90.00 147.43
Positions (direct):
Se1 0.7352 0.2648 0.3889
Se2 0.4361 0.5639 0.2500
Se3 0.2648 0.7352 0.8889
Se4 0.0000 0.0000 0.0000
Se5 0.2648 0.7352 0.6111
Se6 0.7352 0.2648 0.1111
Se7 0.5639 0.4361 0.7500
Se8 0.0000 0.0000 0.5000
Ho1 0.6342 0.3658 0.5650
Ho2 0.3658 0.6342 0.4350
Ho3 0.6342 0.3658 0.9350
Ho4 0.3658 0.6342 0.0650
Cu1 0.1601 0.8399 0.7500
Cu2 0.8399 0.1601 0.2500
K1 0.1128 0.8872 0.2500
K2 0.8872 0.1128 0.7500

Computed properties:
electronic total energy: -80.727 eV/cell
energy relative to the elements, uncorrected: -1.510 eV/atom

***

(7)
Entry from the Alexandria database: an optimized crystal structure of KHo2Cu3Se5 (PBE).

Lattice parameters (Å, degrees): 7.5118 7.5118 16.9435 90.00 90.00 148.20
Positions (direct):
Cu1 0.4148 0.5852 0.0280
Cu2 0.3389 0.6611 0.7500
Cu3 0.5852 0.4148 0.5280
Cu4 0.6611 0.3389 0.2500
Cu5 0.4148 0.5852 0.4720
Cu6 0.5852 0.4148 0.9720
Se1 0.4410 0.5590 0.6191
Se2 0.8349 0.1651 0.0724
Se3 0.1651 0.8349 0.5724
Se4 0.2503 0.7497 0.2500
Se5 0.5590 0.4410 0.3809
Se6 0.8349 0.1651 0.4276
Se7 0.5590 0.4410 0.1191
Se8 0.7497 0.2503 0.7500
Se9 0.4410 0.5590 0.8809
Se10 0.1651 0.8349 0.9276
Ho1 0.8082 0.1918 0.5927
Ho2 0.1918 0.8082 0.0927
Ho3 0.8082 0.1918 0.9073
Ho4 0.1918 0.8082 0.4073
K1 0.9388 0.0612 0.2500
K2 0.0612 0.9388 0.7500

Computed properties:
electronic total energy: -104.674 eV/cell
energy relative to the elements, uncorrected: -1.125 eV/atom

***

(8)
Entry from the Alexandria database: an optimized crystal structure of KHoCuSe2 (PBE).

Lattice parameters (Å, degrees): 4.5601 7.7867 8.1102 98.14 90.00 90.00
Positions (direct):
K1 0.1481 0.5000 0.7500
K2 0.8519 0.5000 0.2500
Ho1 0.5063 0.0000 0.7500
Ho2 0.4937 0.0000 0.2500
Cu1 0.0000 0.0000 0.5000
Cu2 0.0000 0.0000 0.0000
Se1 0.3382 0.2369 0.0305
Se2 0.6618 0.7631 0.9695
Se3 0.3382 0.7631 0.4695
Se4 0.6618 0.2369 0.5305

Computed properties:
electronic total energy: -43.633 eV/cell
energy relative to the elements, uncorrected: -1.015 eV/atom

***

(9)
Entry from the Alexandria database: an optimized crystal structure of KHo2Cu2Se4 (PBE).

Lattice parameters (Å, degrees): 3.7971 7.8781 7.8283 116.29 90.00 103.94
Positions (direct):
Se1 0.4615 0.9231 0.2733
Se2 0.2192 0.4384 0.2731
Se3 0.7808 0.5616 0.7269
Se4 0.5385 0.0769 0.7267
Cu1 0.2997 0.5993 0.9671
Cu2 0.7004 0.4007 0.0329
Ho1 0.1251 0.2502 0.5613
Ho2 0.8749 0.7498 0.4387
K1 0.0000 0.0000 0.0000

Computed properties:
electronic total energy: -41.749 eV/cell
energy relative to the elements, uncorrected: -1.041 eV/atom

***

(10)
Entry from the Alexandria database: an optimized crystal structure of KHoCuTe2 (PBE).

Lattice parameters (Å, degrees): 4.4853 8.4008 8.7197 95.75 90.00 90.00
Positions (direct):
Te1 0.3535 0.7596 0.4781
Te2 0.3535 0.2404 0.0219
Te3 0.6465 0.7596 0.9781
Te4 0.6465 0.2404 0.5219
K1 0.8757 0.5000 0.2500
K2 0.1243 0.5000 0.7500
Ho1 0.4955 0.0000 0.2500
Ho2 0.5045 0.0000 0.7500
Cu1 0.0000 0.0000 0.5000
Cu2 0.0000 0.0000 0.0000

Computed properties:
electronic total energy: -39.646 eV/cell
energy relative to the elements, uncorrected: -0.754 eV/atom

***

(11)
Entry from the Alexandria database: an optimized crystal structure of KHo2CuTe4 (PBE).

Lattice parameters (Å, degrees): 4.3666 7.8107 15.4037 90.00 90.00 106.23
Positions (direct):
Ho1 0.6343 0.2686 0.4338
Ho2 0.3657 0.7314 0.9338
Ho3 0.3657 0.7314 0.5662
Ho4 0.6343 0.2686 0.0662
Te1 0.4386 0.8771 0.7500
Te2 0.2671 0.5342 0.1125
Te3 0.0000 0.0000 0.0000
Te4 0.5614 0.1229 0.2500
Te5 0.2671 0.5342 0.3875
Te6 0.0000 0.0000 0.5000
Te7 0.7329 0.4658 0.8875
Te8 0.7329 0.4658 0.6125
Cu1 0.8410 0.6820 0.7500
Cu2 0.1590 0.3180 0.2500
K1 0.1154 0.2308 0.7500
K2 0.8846 0.7692 0.2500

Computed properties:
electronic total energy: -71.952 eV/cell
energy relative to the elements, uncorrected: -1.132 eV/atom

***

(12)
Entry from the Alexandria database: an optimized crystal structure of LaHo5Cu6 (PBE).

Lattice parameters (Å, degrees): 4.9375 6.9269 7.8504 90.00 71.46 90.00
Positions (direct):
Cu1 0.5000 0.2672 0.0000
Cu2 0.8277 0.7438 0.3442
Cu3 0.1723 0.2562 0.6558
Cu4 0.1723 0.7438 0.6558
Cu5 0.8277 0.2562 0.3442
Cu6 0.5000 0.7328 0.0000
Ho1 0.3310 0.0000 0.3381
Ho2 0.3347 0.5000 0.3308
Ho3 0.0000 0.5000 0.0000
Ho4 0.6653 0.5000 0.6692
Ho5 0.6690 0.0000 0.6619
La1 0.0000 0.0000 0.0000

Computed properties:
electronic total energy: -55.243 eV/cell
ΔH_f (0 K): -2.850 eV/f.u.